(1)
# PmSn2Ir, relaxed, DFT PBE
# E above lowest polymorph   0.00 eV/f.u.
# Density   9.95 g cm⁻³
# Crystal system   orthorhombic
data_PmSn2Ir
_chemical_formula_sum 'Pm8 Sn16 Ir8'
_cell_length_a 4.585
_cell_length_b 9.659
_cell_length_c 17.319
_cell_angle_alpha 90.00
_cell_angle_beta 90.00
_cell_angle_gamma 90.00
_symmetry_space_group_name_H-M 'I m m m'
_symmetry_Int_Tables_number 71
_symmetry_space_group_name_Hall '-I 2 2'
loop_
_atom_site_label
_atom_site_type_symbol
_atom_site_fract_x
_atom_site_fract_y
_atom_site_fract_z
_atom_site_occupancy
Pm1 Pm 0.000 0.000 0.207 1
Pm2 Pm 0.000 0.233 0.000 1
Sn1 Sn 0.000 0.000 0.417 1
Sn2 Sn 0.000 0.341 0.201 1
Sn3 Sn 0.000 0.500 0.420 1
Ir1 Ir 0.000 0.252 0.355 1

---

(2)
# PmSn12Ir6, relaxed, DFT PBE
# Density   10.67 g cm⁻³
# Crystal system   trigonal
data_PmSn12Ir6
_chemical_formula_sum 'Pm3 Sn36 Ir18'
_cell_length_a 12.8371
_cell_length_b 12.8371
_cell_length_c 8.9081
_cell_angle_alpha 90.00
_cell_angle_beta 90.00
_cell_angle_gamma 120.00
_symmetry_space_group_name_H-M 'R -3 m'
_symmetry_Int_Tables_number 166
_symmetry_space_group_name_Hall '-R 3 2"'
loop_
_atom_site_label
_atom_site_type_symbol
_atom_site_fract_x
_atom_site_fract_y
_atom_site_fract_z
_atom_site_occupancy
Pm1 Pm 0.0000 0.0000 0.0000 1
Sn1 Sn 0.0000 0.3782 0.5000 1
Sn2 Sn 0.0847 0.1694 0.3081 1
Ir1 Ir 0.0532 0.5266 0.2477 1

---

(3)
# Pm3SnIr, relaxed, DFT PBE
# E above lowest polymorph   0.83 eV/f.u.
# Density   9.31 g cm⁻³
# Crystal system   cubic
data_Pm3SnIr
_chemical_formula_sum 'Pm9 Sn3 Ir3'
_cell_length_a 7.362
_cell_length_b 7.362
_cell_length_c 7.362
_cell_angle_alpha 90.00
_cell_angle_beta 90.00
_cell_angle_gamma 90.00
_symmetry_space_group_name_H-M 'P m -3 m'
_symmetry_Int_Tables_number 221
_symmetry_space_group_name_Hall '-P 4 2 3'
loop_
_atom_site_label
_atom_site_type_symbol
_atom_site_fract_x
_atom_site_fract_y
_atom_site_fract_z
_atom_site_occupancy
Pm1 Pm 0.000 0.000 0.000 1
Pm2 Pm 0.270 0.270 0.270 1
Sn1 Sn 0.000 0.000 0.500 1
Ir1 Ir 0.000 0.500 0.500 1

---

(4)
# PmSnIr, relaxed, DFT PBE
# E above lowest polymorph   0.00 eV/f.u.
# Density   11.24 g cm⁻³
# Crystal system   orthorhombic
data_PmSnIr
_chemical_formula_sum 'Pm4 Sn4 Ir4'
_cell_length_a 7.188
_cell_length_b 4.623
_cell_length_c 8.109
_cell_angle_alpha 90.00
_cell_angle_beta 90.00
_cell_angle_gamma 90.00
_symmetry_space_group_name_H-M 'P n m a'
_symmetry_Int_Tables_number 62
loop_
_symmetry_equiv_pos_as_xyz
'x,y,z'
'-x,-y,-z'
'-x+1/2,-y,z+1/2'
'x+1/2,y,-z+1/2'
'x+1/2,-y+1/2,-z+1/2'
'-x+1/2,y+1/2,z+1/2'
'-x,y+1/2,-z'
'x,-y+1/2,z'
loop_
_atom_site_label
_atom_site_type_symbol
_atom_site_fract_x
_atom_site_fract_y
_atom_site_fract_z
_atom_site_occupancy
Pm1 Pm 0.024 0.250 0.187 1
Sn1 Sn 0.161 0.250 0.573 1
Ir1 Ir 0.228 0.750 0.396 1

---

(5)
# PmSn2Ir, relaxed, DFT PBE
# E above lowest polymorph   0.39 eV/f.u.
# Density   9.97 g cm⁻³
# Crystal system   monoclinic
data_PmSn2Ir
_chemical_formula_sum 'Pm4 Sn8 Ir4'
_cell_length_a 5.801
_cell_length_b 12.877
_cell_length_c 5.888
_cell_angle_alpha 90.00
_cell_angle_beta 119.48
_cell_angle_gamma 90.00
_symmetry_space_group_name_H-M 'C 1 2/c 1'
_symmetry_Int_Tables_number 15
loop_
_symmetry_equiv_pos_as_xyz
'x,y,z'
'-x,-y,-z'
'-x,y,-z+1/2'
'x,-y,z+1/2'
'x+1/2,y+1/2,z'
'-x+1/2,-y+1/2,-z'
'-x+1/2,y+1/2,-z+1/2'
'x+1/2,-y+1/2,z+1/2'
loop_
_atom_site_label
_atom_site_type_symbol
_atom_site_fract_x
_atom_site_fract_y
_atom_site_fract_z
_atom_site_occupancy
Pm1 Pm 0.000 0.101 0.250 1
Sn1 Sn 0.192 0.342 0.118 1
Ir1 Ir 0.000 0.489 0.750 1

---

(6)
# Pm3Sn4Ir2, relaxed, DFT PBE
# E above lowest polymorph   0.00 eV/f.u.
# Density   9.61 g cm⁻³
# Crystal system   monoclinic
data_Pm3Sn4Ir2
_chemical_formula_sum 'Pm6 Sn8 Ir4'
_cell_length_a 11.540
_cell_length_b 4.618
_cell_length_c 8.819
_cell_angle_alpha 90.00
_cell_angle_beta 107.85
_cell_angle_gamma 90.00
_symmetry_space_group_name_H-M 'C 1 2/m 1'
_symmetry_Int_Tables_number 12
loop_
_symmetry_equiv_pos_as_xyz
'x,y,z'
'-x,-y,-z'
'-x,y,-z'
'x,-y,z'
'x+1/2,y+1/2,z'
'-x+1/2,-y+1/2,-z'
'-x+1/2,y+1/2,-z'
'x+1/2,-y+1/2,z'
loop_
_atom_site_label
_atom_site_type_symbol
_atom_site_fract_x
_atom_site_fract_y
_atom_site_fract_z
_atom_site_occupancy
Pm1 Pm 0.000 0.000 0.000 1
Pm2 Pm 0.132 0.500 0.688 1
Sn1 Sn 0.085 0.000 0.390 1
Sn2 Sn 0.203 0.500 0.077 1
Ir1 Ir 0.196 0.500 0.379 1

---

(7)
# Pm8SnIr2, relaxed, DFT PBE
# Density   8.38 g cm⁻³
# Crystal system   monoclinic
data_Pm8SnIr2
_chemical_formula_sum 'Pm16 Sn2 Ir4'
_cell_length_a 8.882
_cell_length_b 13.604
_cell_length_c 5.609
_cell_angle_alpha 90.00
_cell_angle_beta 103.56
_cell_angle_gamma 90.00
_symmetry_space_group_name_H-M 'C 1 2/m 1'
_symmetry_Int_Tables_number 12
loop_
_symmetry_equiv_pos_as_xyz
'x,y,z'
'-x,-y,-z'
'-x,y,-z'
'x,-y,z'
'x+1/2,y+1/2,z'
'-x+1/2,-y+1/2,-z'
'-x+1/2,y+1/2,-z'
'x+1/2,-y+1/2,z'
loop_
_atom_site_label
_atom_site_type_symbol
_atom_site_fract_x
_atom_site_fract_y
_atom_site_fract_z
_atom_site_occupancy
Pm1 Pm 0.000 0.249 0.000 1
Pm2 Pm 0.110 0.500 0.801 1
Pm3 Pm 0.199 0.127 0.569 1
Sn1 Sn 0.000 0.000 0.000 1
Ir1 Ir 0.000 0.306 0.500 1

---

(8)
# Pm12Sn6Ir, relaxed, DFT PBE
# Density   6.62 g cm⁻³
# Crystal system   trigonal
data_Pm12Sn6Ir
_chemical_formula_sum 'Pm36 Sn18 Ir3'
_cell_length_a 13.4950
_cell_length_b 13.4950
_cell_length_c 12.6109
_cell_angle_alpha 90.00
_cell_angle_beta 90.00
_cell_angle_gamma 120.00
_symmetry_space_group_name_H-M 'R -3'
_symmetry_Int_Tables_number 148
_symmetry_space_group_name_Hall '-R 3'
loop_
_atom_site_label
_atom_site_type_symbol
_atom_site_fract_x
_atom_site_fract_y
_atom_site_fract_z
_atom_site_occupancy
Pm1 Pm 0.0331 0.8312 0.3951 1
Pm2 Pm 0.0604 0.8624 0.8823 1
Sn1 Sn 0.0480 0.7675 0.6440 1
Ir1 Ir 0.0000 0.0000 0.0000 1

---

no.,ΔH_f (0 K) (meV/atom)
1,-661
2,-118
3,-468
4,-788
5,-563
6,-677
7,-400
8,-453